Below is AgMoPO6 after structural relaxation, with properties calculated at the PBE with a Hubbard U level.

Properties
The magnetization comes out at 0.00 μB/cell. Its symmetry is P2_1/c, No. 14. For the electronic total energy, the calculation gives -474.26 eV per cell.

Lattice parameters (Å, degrees): 6.4349 12.1981 13.5820 90.00 115.14 90.00
With the nearest neighbours (Å) after each atom.
Positions (direct):
Ag (0.0617, 0.2107, 0.1227)  5 O 2.43-2.67
Ag (0.0617, 0.2893, 0.6227)  5 O 2.43-2.67
Ag (0.3713, 0.7000, 0.8550)  3 O 2.27-2.45
Ag (0.3713, 0.8000, 0.3550)  3 O 2.27-2.45
Ag (0.6287, 0.2000, 0.6450)  3 O 2.27-2.45
Ag (0.6287, 0.3000, 0.1450)  3 O 2.27-2.45
Ag (0.9383, 0.7107, 0.3773)  5 O 2.43-2.67
Ag (0.9383, 0.7893, 0.8773)  5 O 2.43-2.67
Mo (0.1452, 0.1018, 0.8868)  2 O 1.74-1.77
Mo (0.1452, 0.3982, 0.3868)  2 O 1.74-1.77
Mo (0.3760, 0.5999, 0.1294)  2 O 1.76-1.77
Mo (0.3760, 0.9001, 0.6294)  2 O 1.76-1.77
Mo (0.6240, 0.0999, 0.3706)  2 O 1.76-1.77
Mo (0.6240, 0.4001, 0.8706)  2 O 1.76-1.77
Mo (0.8548, 0.6018, 0.6132)  2 O 1.74-1.77
Mo (0.8548, 0.8982, 0.1132)  2 O 1.74-1.77
P (0.1896, 0.1149, 0.4382)  4 O 1.54-1.56
P (0.1896, 0.3851, 0.9382)  4 O 1.54-1.56
P (0.3653, 0.5394, 0.6235)  4 O 1.53-1.56
P (0.3653, 0.9606, 0.1235)  4 O 1.53-1.56
P (0.6347, 0.0394, 0.8765)  4 O 1.53-1.56
P (0.6347, 0.4606, 0.3765)  4 O 1.53-1.56
P (0.8104, 0.6149, 0.0618)  4 O 1.54-1.56
P (0.8104, 0.8851, 0.5618)  4 O 1.54-1.56
O (0.0371, 0.1652, 0.7572)  1 Mo 1.77
O (0.0371, 0.3348, 0.2572)  1 Mo 1.77
O (0.0593, 0.5702, 0.1176)  1 P 1.55
O (0.0593, 0.9298, 0.6176)  1 P 1.55
O (0.1066, 0.5374, 0.3576)  1 Mo 1.74
O (0.1066, 0.9626, 0.8576)  1 Mo 1.74
O (0.1510, 0.6143, 0.5954)  1 P 1.56
O (0.1510, 0.8857, 0.0954)  1 P 1.56
O (0.1946, 0.2380, 0.4667)  1 P 1.55
O (0.1946, 0.2620, 0.9667)  1 P 1.55
O (0.2792, 0.6723, 0.0053)  1 Mo 1.77
O (0.2792, 0.8277, 0.5053)  1 Mo 1.77
O (0.2925, 0.0704, 0.0622)  1 P 1.54
O (0.2925, 0.4296, 0.5622)  1 P 1.54
O (0.2970, 0.0960, 0.3563)  1 P 1.56
O (0.2970, 0.4040, 0.8563)  1 P 1.56
O (0.3308, 0.0544, 0.5455)  1 P 1.54
O (0.3308, 0.4456, 0.0455)  1 P 1.54
O (0.4353, 0.7024, 0.2285)  1 Mo 1.76
O (0.4353, 0.7976, 0.7285)  1 Mo 1.76
O (0.4754, 0.1063, 0.9148)  1 P 1.56
O (0.4754, 0.3937, 0.4148)  1 P 1.56
O (0.4893, 0.5220, 0.7468)  1 P 1.53
O (0.4893, 0.9780, 0.2468)  1 P 1.53
O (0.5107, 0.0220, 0.7532)  1 P 1.53
O (0.5107, 0.4780, 0.2532)  1 P 1.53
O (0.5246, 0.6063, 0.5852)  1 P 1.56
O (0.5246, 0.8937, 0.0852)  1 P 1.56
O (0.5647, 0.2024, 0.2715)  1 Mo 1.76
O (0.5647, 0.2976, 0.7715)  1 Mo 1.76
O (0.6692, 0.5544, 0.9545)  1 P 1.54
O (0.6692, 0.9456, 0.4545)  1 P 1.54
O (0.7030, 0.5960, 0.1437)  1 P 1.56
O (0.7030, 0.9040, 0.6437)  1 P 1.56
O (0.7075, 0.5704, 0.4378)  1 P 1.54
O (0.7075, 0.9296, 0.9378)  1 P 1.54
O (0.7208, 0.1723, 0.4947)  1 Mo 1.77
O (0.7208, 0.3277, 0.9947)  1 Mo 1.77
O (0.8054, 0.7380, 0.0333)  1 P 1.55
O (0.8054, 0.7620, 0.5333)  1 P 1.55
O (0.8490, 0.1143, 0.9046)  1 P 1.56
O (0.8490, 0.3857, 0.4046)  1 P 1.56
O (0.8934, 0.0374, 0.1424)  1 Mo 1.74
O (0.8934, 0.4626, 0.6424)  1 Mo 1.74
O (0.9407, 0.0702, 0.3824)  1 P 1.55
O (0.9407, 0.4298, 0.8824)  1 P 1.55
O (0.9629, 0.6652, 0.7428)  1 Mo 1.77
O (0.9629, 0.8348, 0.2428)  1 Mo 1.77